No. 1
Below is a relaxed TbDy4Cu5 crystal, with properties calculated at the GGA-PBE level.

Geometry as POSCAR:
```
TbDy4Cu5
1.0
3.4538 0.0000 0.0000
0.0000 3.4538 0.0000
0.0000 0.0000 17.5054
Tb Dy Cu
1 4 5
direct
0.0000 0.0000 0.0000 Tb
0.0000 0.0000 0.2006 Dy
0.0000 0.0000 0.4002 Dy
0.0000 0.0000 0.5998 Dy
0.0000 0.0000 0.7994 Dy
0.5000 0.5000 0.1012 Cu
0.5000 0.5000 0.3004 Cu
0.5000 0.5000 0.5000 Cu
0.5000 0.5000 0.6996 Cu
0.5000 0.5000 0.8988 Cu
```

=====

No. 2
TbDy2Cu GGA-PBE relaxed; polymorph energy (0 for the lowest one) = 0.15 eV per formula unit
1.0
2.4566 -5.7885 0.0000
2.4566 5.7885 0.0000
0.0000 0.0000 7.5218
Tb Dy Cu
2 4 2
direct
0.0444 0.9556 0.7500 Tb
0.9556 0.0444 0.2500 Tb
0.3524 0.6476 0.5312 Dy
0.3524 0.6476 0.9688 Dy
0.6476 0.3524 0.0312 Dy
0.6476 0.3524 0.4688 Dy
0.2005 0.7995 0.2500 Cu
0.7995 0.2005 0.7500 Cu

=====

No. 3
TbDy2Cu GGA-PBE relaxed; polymorph energy (0 for the lowest one) = 0.02 eV per formula unit
1.0
3.4981 0.0000 0.0000
0.0000 3.4981 0.0000
0.0000 0.0000 8.6308
Tb Dy Cu
1 2 1
direct
0.0000 0.0000 0.0000 Tb
0.5000 0.5000 0.3027 Dy
0.5000 0.5000 0.6973 Dy
0.0000 0.0000 0.5000 Cu

=====

No. 4
Below is a relaxed Tb2DyCu3 crystal, with properties calculated at the GGA-PBE level.

Geometry as POSCAR:
```
Tb2DyCu3
1.0
3.4732 0.0000 0.0000
0.0000 3.4732 0.0000
0.0000 0.0000 10.4503
Tb Dy Cu
2 1 3
direct
0.0000 0.0000 0.1672 Tb
0.0000 0.0000 0.8328 Tb
0.0000 0.0000 0.5000 Dy
0.5000 0.5000 0.0000 Cu
0.5000 0.5000 0.3349 Cu
0.5000 0.5000 0.6651 Cu
```

=====

No. 5
TbDy2Cu GGA-PBE relaxed; polymorph energy (0 for the lowest one) = 0.54 eV per formula unit
1.0
1.8176 1.0494 9.7068
-1.8176 1.0494 9.7068
0.0000 -2.0988 9.7068
Tb Dy Cu
1 2 1
direct
0.0000 0.0000 0.0000 Tb
0.5670 0.5670 0.5670 Dy
0.7653 0.7653 0.7653 Dy
0.1657 0.1657 0.1657 Cu

=====

No. 6
Below is a relaxed Tb5DyCu4 crystal, with properties calculated at the GGA-PBE level.

Geometry as POSCAR:
```
Tb5DyCu4
1.0
3.4889 0.0000 0.0000
0.0000 3.4889 0.0000
0.0000 0.0000 19.0600
Tb Dy Cu
5 1 4
direct
0.0000 0.0000 0.0000 Tb
0.0000 0.0000 0.1835 Tb
0.0000 0.0000 0.3648 Tb
0.0000 0.0000 0.6352 Tb
0.0000 0.0000 0.8165 Tb
0.5000 0.5000 0.5000 Dy
0.5000 0.5000 0.0917 Cu
0.5000 0.5000 0.2745 Cu
0.5000 0.5000 0.7256 Cu
0.5000 0.5000 0.9083 Cu
```

=====

Final energy, respectively: -4.606, -4.547, -4.580, -4.605, -4.451, -4.598 eV/atom.
Energy of formation from the pure elements, respectively: -245, -25, -37, -143, 12, -178 kJ/mol of formula units.